4
Lattice="1.930 1.114 9.465 -1.930 1.114 9.465 0.000 -2.228 9.465" Properties=species:S:1:pos:R:3 comment="Sm2ZnCo | Alexandria via LeMat-Bulk | PBE | optimized geometry" total_magnetization_mub_per_cell=0.0 volume_a3_per_fu=122.1 de_polymorph_ev_per_fu=1.55 ef_ev_per_atom=0.195 space_group="R-3m (166)" dos_ef_per_ev_atom=0.796 pbc="T T T"
Sm 0.000 0.000 3.239
Sm 0.000 0.000 25.155
Zn 0.000 0.000 0.000
Co 0.000 0.000 14.197